Record 1
Material: NaTaCl6
Method: DFT, GGA-PBEsol
State: relaxed

Computed properties:
The uncorrected formation energy is -1.4519 eV per atom. The calculation puts the density of states at the Fermi level at 0.0 states/eV per cell.

Cell lengths 6.5220, 6.8645, 18.9298 Å; angles 90.00, 92.13, 90.00 degrees
Sites, in units of the cell vectors:
Na (0.2098, 0.1864, 0.2578)
Na (0.2098, 0.3136, 0.7578)
Na (0.7902, 0.6864, 0.2422)
Na (0.7902, 0.8136, 0.7422)
Ta (0.2613, 0.7158, 0.6165)
Ta (0.2613, 0.7842, 0.1165)
Ta (0.7387, 0.2158, 0.8835)
Ta (0.7387, 0.2842, 0.3835)
Cl (0.0334, 0.0360, 0.8449)
Cl (0.0334, 0.4640, 0.3449)
Cl (0.0860, 0.0036, 0.6564)
Cl (0.0860, 0.4964, 0.1564)
Cl (0.1157, 0.7442, 0.0066)
Cl (0.1157, 0.7558, 0.5066)
Cl (0.3837, 0.6862, 0.7403)
Cl (0.3837, 0.8138, 0.2403)
Cl (0.4148, 0.0757, 0.0925)
Cl (0.4148, 0.4243, 0.5925)
Cl (0.4513, 0.1021, 0.4045)
Cl (0.4513, 0.3979, 0.9045)
Cl (0.5487, 0.6021, 0.0955)
Cl (0.5487, 0.8979, 0.5955)
Cl (0.5852, 0.5757, 0.4075)
Cl (0.5852, 0.9243, 0.9075)
Cl (0.6163, 0.1862, 0.7597)
Cl (0.6163, 0.3138, 0.2597)
Cl (0.8843, 0.2442, 0.4934)
Cl (0.8843, 0.2558, 0.9934)
Cl (0.9140, 0.5036, 0.8436)
Cl (0.9140, 0.9964, 0.3436)
Cl (0.9666, 0.5360, 0.6551)
Cl (0.9666, 0.9640, 0.1551)

***

Record 2
Material: TmAgS2
Method: DFT, GGA-PBEsol
State: relaxed

Computed properties:
The uncorrected formation energy is -1.3064 eV per atom. The calculation puts the density of states at the Fermi level at 0.0 states/eV per cell.

Cell lengths 6.3765, 6.3765, 6.3765 Å; angles 35.79, 35.79, 35.79 degrees
Sites, in units of the cell vectors:
Tm (0.0000, 0.0000, 0.0000)
Ag (0.5000, 0.5000, 0.5000)
S (0.2524, 0.2524, 0.2524)
S (0.7476, 0.7476, 0.7476)